[1]
Nd4DyTm: optimized geometry, PBE-GGA.

Output
Energy above the lowest structure with this stoichiometry (meV per atom): 553
DOS at the Fermi energy (states/eV/atom): 1.67

abc: 3.484 8.286 8.286
angles: 90.04 90.00 90.00
Fractional coordinates of all 6 atoms:
Nd (0.000, 0.240, 0.240)
Nd (0.500, 0.262, 0.738)
Nd (0.000, 0.760, 0.760)
Nd (0.500, 0.738, 0.262)
Tm (0.000, 0.500, 0.500)
Dy (0.500, 0.000, 0.000)

---

[2]
NdDy2Tm9: optimized geometry, PBE-GGA.

Output
Energy above the lowest structure with this stoichiometry (meV per atom): 18
DOS at the Fermi energy (states/eV/atom): 1.43

abc: 3.486 11.095 11.095
angles: 120.00 90.00 90.00
Fractional coordinates of all 12 atoms:
Tm (0.500, 0.643, 0.822)
Tm (0.500, 0.178, 0.357)
Tm (0.500, 0.822, 0.643)
Tm (0.000, 0.000, 0.500)
Tm (0.500, 0.822, 0.178)
Tm (0.500, 0.178, 0.822)
Tm (0.000, 0.500, 0.000)
Tm (0.000, 0.500, 0.500)
Tm (0.500, 0.357, 0.178)
Dy (0.000, 0.333, 0.667)
Dy (0.000, 0.667, 0.333)
Nd (0.000, 0.000, 0.000)

---

[3]
Nd4Dy5Tm2: optimized geometry, PBE-GGA.

Output
Energy above the lowest structure with this stoichiometry (meV per atom): 174
DOS at the Fermi energy (states/eV/atom): 1.48

abc: 3.499 9.272 12.503
angles: 111.76 98.04 90.00
Fractional coordinates of all 11 atoms:
Dy (0.850, 0.649, 0.701)
Dy (0.150, 0.948, 0.299)
Dy (0.150, 0.351, 0.299)
Dy (0.850, 0.052, 0.701)
Dy (0.500, 0.000, 0.000)
Nd (0.404, 0.404, 0.807)
Nd (0.000, 0.295, 0.000)
Nd (0.000, 0.705, 0.000)
Nd (0.596, 0.596, 0.193)
Tm (0.730, 0.730, 0.460)
Tm (0.270, 0.270, 0.540)

---

[4]
NdDy6Tm2: optimized geometry, PBE-GGA.

Output
Energy above the lowest structure with this stoichiometry (meV per atom): 0
DOS at the Fermi energy (states/eV/atom): 1.40

abc: 3.548 8.672 12.760
angles: 132.72 82.03 90.03
Fractional coordinates of all 9 atoms:
Dy (0.111, 0.443, 0.778)
Dy (0.667, 0.664, 0.665)
Dy (0.222, 0.891, 0.556)
Dy (0.333, 0.336, 0.335)
Dy (0.778, 0.109, 0.444)
Dy (0.889, 0.557, 0.222)
Nd (0.000, 0.000, 0.000)
Tm (0.444, 0.776, 0.111)
Tm (0.556, 0.224, 0.889)

---

[5]
Nd5Dy6Tm2: optimized geometry, PBE-GGA.

Output
Total DFT energy (no corrections) (Ry per atom): -0.335
DOS at the Fermi energy (states/eV/atom): 1.22

abc: 3.599 11.646 20.583
angles: 90.00 90.00 90.00
Fractional coordinates of all 26 atoms:
Nd (0.500, 0.802, 0.051)
Nd (0.500, 0.585, 0.272)
Nd (0.500, 0.000, 0.500)
Nd (0.500, 0.198, 0.949)
Nd (0.500, 0.698, 0.551)
Nd (0.500, 0.915, 0.772)
Nd (0.500, 0.085, 0.228)
Nd (0.500, 0.302, 0.449)
Nd (0.500, 0.415, 0.728)
Nd (0.500, 0.500, 0.000)
Dy (0.000, 0.082, 0.368)
Dy (0.000, 0.062, 0.081)
Dy (0.000, 0.418, 0.868)
Dy (0.500, 0.326, 0.139)
Dy (0.500, 0.674, 0.861)
Dy (0.000, 0.562, 0.419)
Dy (0.000, 0.582, 0.132)
Dy (0.000, 0.938, 0.919)
Dy (0.500, 0.174, 0.639)
Dy (0.000, 0.438, 0.581)
Dy (0.500, 0.826, 0.361)
Dy (0.000, 0.918, 0.632)
Tm (0.000, 0.170, 0.790)
Tm (0.000, 0.330, 0.290)
Tm (0.000, 0.670, 0.710)
Tm (0.000, 0.830, 0.210)

---

[6]
Nd5Dy2Tm2: optimized geometry, PBE-GGA.

Output
Energy above the lowest structure with this stoichiometry (meV per atom): 152
DOS at the Fermi energy (states/eV/atom): 1.30

abc: 12.893 6.209 10.416
angles: 107.34 128.24 90.00
Fractional coordinates of all 18 atoms:
Dy (0.000, 0.884, 0.000)
Dy (0.194, 0.268, 0.500)
Dy (0.500, 0.384, 0.000)
Dy (0.806, 0.768, 0.500)
Nd (0.850, 0.345, 0.097)
Nd (0.747, 0.845, 0.097)
Nd (0.150, 0.248, 0.903)
Nd (0.671, 0.808, 0.712)
Nd (0.541, 0.308, 0.712)
Nd (0.459, 0.596, 0.288)
Nd (0.329, 0.096, 0.288)
Nd (0.253, 0.748, 0.903)
Nd (0.074, 0.792, 0.500)
Nd (0.926, 0.292, 0.500)
Tm (0.814, 0.312, 0.728)
Tm (0.586, 0.084, 0.272)
Tm (0.414, 0.812, 0.728)
Tm (0.186, 0.584, 0.272)

---

[7]
NdDy15Tm4: optimized geometry, PBE-GGA.

Output
Total DFT energy (no corrections) (Ry per atom): -0.335
DOS at the Fermi energy (states/eV/atom): 1.32

abc: 5.001 5.001 25.016
angles: 90.00 90.00 90.00
Fractional coordinates of all 20 atoms:
Dy (0.000, 0.500, 0.699)
Dy (0.000, 0.500, 0.102)
Dy (0.500, 0.500, 0.400)
Dy (0.500, 0.500, 0.202)
Dy (0.500, 0.000, 0.898)
Dy (0.500, 0.000, 0.301)
Dy (0.500, 0.000, 0.102)
Dy (0.000, 0.500, 0.898)
Dy (0.500, 0.000, 0.699)
Dy (0.500, 0.500, 0.600)
Dy (0.000, 0.500, 0.301)
Dy (0.500, 0.500, 0.798)
Dy (0.500, 0.000, 0.500)
Dy (0.000, 0.500, 0.500)
Dy (0.500, 0.500, 0.000)
Tm (0.000, 0.000, 0.400)
Tm (0.000, 0.000, 0.799)
Tm (0.000, 0.000, 0.201)
Tm (0.000, 0.000, 0.600)
Nd (0.000, 0.000, 0.000)

---

[8]
Nd4Dy5Tm2: optimized geometry, PBE-GGA.

Output
Energy above the lowest structure with this stoichiometry (meV per atom): 0
DOS at the Fermi energy (states/eV/atom): 1.41

abc: 5.652 6.645 9.982
angles: 90.83 106.45 90.00
Fractional coordinates of all 11 atoms:
Dy (0.208, 0.402, 0.417)
Dy (0.870, 0.110, 0.740)
Dy (0.500, 0.000, 0.000)
Dy (0.792, 0.598, 0.583)
Dy (0.130, 0.890, 0.260)
Tm (0.597, 0.554, 0.195)
Tm (0.403, 0.446, 0.805)
Nd (0.981, 0.711, 0.961)
Nd (0.019, 0.289, 0.039)
Nd (0.694, 0.070, 0.387)
Nd (0.306, 0.930, 0.613)

---

[9]
Nd7Dy3Tm: optimized geometry, PBE-GGA.

Output
Energy above the lowest structure with this stoichiometry (meV per atom): 0
DOS at the Fermi energy (states/eV/atom): 1.51

abc: 10.320 10.319 12.648
angles: 65.14 114.86 139.30
Fractional coordinates of all 22 atoms:
Nd (0.420, 0.088, 0.524)
Nd (0.293, 0.293, 0.750)
Nd (0.419, 0.084, 0.028)
Nd (0.912, 0.580, 0.024)
Nd (0.156, 0.838, 0.773)
Nd (0.088, 0.420, 0.976)
Nd (0.581, 0.916, 0.972)
Nd (0.838, 0.156, 0.727)
Nd (0.162, 0.844, 0.273)
Nd (0.580, 0.912, 0.476)
Nd (0.084, 0.419, 0.472)
Nd (0.916, 0.581, 0.528)
Nd (0.707, 0.707, 0.250)
Nd (0.844, 0.162, 0.227)
Dy (0.331, 0.673, 0.227)
Dy (0.327, 0.669, 0.727)
Dy (0.669, 0.327, 0.773)
Dy (0.000, 0.000, 0.000)
Dy (0.000, 0.000, 0.500)
Dy (0.673, 0.331, 0.273)
Tm (0.500, 0.500, 0.500)
Tm (0.500, 0.500, 0.000)

---

[10]
NdDy12Tm6: optimized geometry, PBE-GGA.

Output
Energy above the lowest structure with this stoichiometry (meV per atom): 0
DOS at the Fermi energy (states/eV/atom): 1.77

abc: 8.478 8.478 8.478
angles: 88.37 88.37 88.37
Fractional coordinates of all 19 atoms:
Dy (0.775, 0.542, 0.435)
Dy (0.225, 0.458, 0.565)
Dy (0.794, 0.642, 0.990)
Dy (0.542, 0.435, 0.775)
Dy (0.990, 0.794, 0.642)
Dy (0.642, 0.990, 0.794)
Dy (0.358, 0.010, 0.206)
Dy (0.458, 0.565, 0.225)
Dy (0.010, 0.206, 0.358)
Dy (0.565, 0.225, 0.458)
Dy (0.435, 0.775, 0.542)
Dy (0.206, 0.358, 0.010)
Tm (0.690, 0.257, 0.095)
Tm (0.743, 0.905, 0.310)
Tm (0.310, 0.743, 0.905)
Tm (0.257, 0.095, 0.690)
Tm (0.905, 0.310, 0.743)
Tm (0.095, 0.690, 0.257)
Nd (0.000, 0.000, 0.000)

---

[11]
Nd7Dy2Tm2: optimized geometry, PBE-GGA.

Output
Energy above the lowest structure with this stoichiometry (meV per atom): 0
DOS at the Fermi energy (states/eV/atom): 1.42

abc: 6.118 8.125 8.125
angles: 90.31 74.67 74.67
Fractional coordinates of all 11 atoms:
Dy (0.590, 0.773, 0.773)
Dy (0.410, 0.227, 0.227)
Nd (0.201, 0.575, 0.575)
Nd (0.819, 0.414, 0.950)
Nd (0.819, 0.950, 0.414)
Nd (0.799, 0.425, 0.425)
Nd (0.000, 0.000, 0.000)
Nd (0.181, 0.586, 0.050)
Nd (0.181, 0.050, 0.586)
Tm (0.500, 0.785, 0.215)
Tm (0.500, 0.215, 0.785)

---

[12]
Nd3DyTm4: optimized geometry, PBE-GGA.

Output
Energy above the lowest structure with this stoichiometry (meV per atom): 0
DOS at the Fermi energy (states/eV/atom): 1.79

abc: 6.267 7.287 11.381
angles: 90.00 90.00 90.00
Fractional coordinates of all 16 atoms:
Tm (0.147, 0.880, 0.000)
Tm (0.981, 0.120, 0.752)
Tm (0.649, 0.120, 0.000)
Tm (0.481, 0.880, 0.252)
Tm (0.647, 0.120, 0.500)
Tm (0.981, 0.120, 0.248)
Tm (0.149, 0.880, 0.500)
Tm (0.481, 0.880, 0.748)
Nd (0.646, 0.628, 0.000)
Nd (0.483, 0.372, 0.750)
Nd (0.483, 0.372, 0.250)
Nd (0.146, 0.372, 0.500)
Nd (0.983, 0.628, 0.750)
Nd (0.983, 0.628, 0.250)
Dy (0.646, 0.631, 0.500)
Dy (0.146, 0.369, 0.000)

---

[13]
NdDy5Tm6: optimized geometry, PBE-GGA.

Output
Total DFT energy (no corrections) (Ry per atom): -0.333
DOS at the Fermi energy (states/eV/atom): 1.44

abc: 9.331 9.331 4.984
angles: 105.48 105.48 106.83
Fractional coordinates of all 12 atoms:
Dy (0.333, 0.667, 0.000)
Dy (0.832, 0.168, 0.500)
Dy (0.667, 0.333, 0.000)
Dy (0.500, 0.500, 0.500)
Dy (0.168, 0.832, 0.500)
Tm (0.582, 0.916, 0.749)
Tm (0.916, 0.582, 0.749)
Tm (0.252, 0.252, 0.752)
Tm (0.748, 0.748, 0.248)
Tm (0.418, 0.084, 0.251)
Tm (0.084, 0.418, 0.251)
Nd (0.000, 0.000, 0.000)

---

[14]
NdDy5Tm4: optimized geometry, PBE-GGA.

Output
Total DFT energy (no corrections) (Ry per atom): -0.313
DOS at the Fermi energy (states/eV/atom): 1.39

abc: 6.300 7.816 7.816
angles: 80.65 66.23 66.23
Fractional coordinates of all 10 atoms:
Tm (0.504, 0.600, 0.298)
Tm (0.402, 0.400, 0.702)
Tm (0.104, 0.298, 0.400)
Tm (0.802, 0.702, 0.600)
Dy (0.185, 0.909, 0.621)
Dy (0.678, 0.000, 0.000)
Dy (0.715, 0.091, 0.379)
Dy (0.094, 0.621, 0.091)
Dy (0.806, 0.379, 0.909)
Nd (0.223, 0.000, 0.000)

---

[15]
Nd7Dy2Tm3: optimized geometry, PBE-GGA.

Output
Energy above the lowest structure with this stoichiometry (meV per atom): 0
DOS at the Fermi energy (states/eV/atom): 1.38

abc: 3.623 5.859 19.028
angles: 94.07 90.00 90.00
Fractional coordinates of all 12 atoms:
Nd (0.000, 0.000, 0.000)
Nd (0.500, 0.259, 0.535)
Nd (0.000, 0.670, 0.145)
Nd (0.500, 0.174, 0.184)
Nd (0.500, 0.741, 0.465)
Nd (0.500, 0.826, 0.816)
Nd (0.000, 0.330, 0.855)
Dy (0.500, 0.296, 0.702)
Dy (0.500, 0.704, 0.298)
Tm (0.000, 0.783, 0.632)
Tm (0.500, 0.500, 0.000)
Tm (0.000, 0.217, 0.368)

---

[16]
NdDy4Tm4: optimized geometry, PBE-GGA.

Output
Energy above the lowest structure with this stoichiometry (meV per atom): 0
DOS at the Fermi energy (states/eV/atom): 1.40

abc: 4.977 7.905 7.905
angles: 84.31 71.65 71.65
Fractional coordinates of all 9 atoms:
Dy (0.000, 0.667, 0.333)
Dy (0.000, 0.333, 0.667)
Dy (0.667, 0.333, 0.333)
Dy (0.333, 0.667, 0.667)
Nd (0.000, 0.000, 0.000)
Tm (0.668, 0.665, 0.000)
Tm (0.668, 0.000, 0.665)
Tm (0.332, 0.335, 0.000)
Tm (0.332, 0.000, 0.335)

---

[17]
NdDy4Tm3: optimized geometry, PBE-GGA.

Output
Energy above the lowest structure with this stoichiometry (meV per atom): 224
DOS at the Fermi energy (states/eV/atom): 1.67

abc: 5.621 3.545 13.277
angles: 90.00 102.22 90.00
Fractional coordinates of all 8 atoms:
Tm (0.000, 0.500, 0.000)
Tm (0.844, 0.000, 0.688)
Tm (0.156, 0.000, 0.312)
Dy (0.724, 0.501, 0.448)
Dy (0.395, 0.501, 0.789)
Dy (0.276, 0.499, 0.552)
Dy (0.605, 0.499, 0.211)
Nd (0.500, 0.000, 0.000)

---

[18]
Nd4Dy4Tm5: optimized geometry, PBE-GGA.

Output
Total DFT energy (no corrections) (Ry per atom): -0.337
DOS at the Fermi energy (states/eV/atom): 1.43

abc: 5.027 9.439 9.439
angles: 85.93 74.55 74.55
Fractional coordinates of all 13 atoms:
Nd (0.382, 0.697, 0.539)
Nd (0.618, 0.303, 0.461)
Nd (0.921, 0.461, 0.697)
Nd (0.079, 0.539, 0.303)
Tm (0.311, 0.150, 0.227)
Tm (0.539, 0.773, 0.150)
Tm (0.461, 0.227, 0.850)
Tm (0.000, 0.000, 0.000)
Tm (0.689, 0.850, 0.773)
Dy (0.229, 0.619, 0.924)
Dy (0.771, 0.381, 0.076)
Dy (0.847, 0.924, 0.381)
Dy (0.153, 0.076, 0.619)

---

[19]
Nd3DyTm6: optimized geometry, PBE-GGA.

Output
Energy above the lowest structure with this stoichiometry (meV per atom): 0
DOS at the Fermi energy (states/eV/atom): 1.47

abc: 3.508 12.967 14.231
angles: 100.16 90.00 90.00
Fractional coordinates of all 20 atoms:
Tm (0.250, 0.220, 0.287)
Tm (0.750, 0.807, 0.075)
Tm (0.250, 0.193, 0.925)
Tm (0.250, 0.882, 0.515)
Tm (0.750, 0.500, 0.691)
Tm (0.750, 0.345, 0.123)
Tm (0.750, 0.731, 0.300)
Tm (0.750, 0.780, 0.713)
Tm (0.750, 0.118, 0.485)
Tm (0.250, 0.269, 0.700)
Tm (0.250, 0.500, 0.309)
Tm (0.250, 0.655, 0.877)
Nd (0.750, 0.421, 0.902)
Nd (0.250, 0.926, 0.898)
Nd (0.750, 0.629, 0.504)
Nd (0.750, 0.074, 0.102)
Nd (0.250, 0.371, 0.496)
Nd (0.250, 0.579, 0.098)
Dy (0.250, 0.959, 0.280)
Dy (0.750, 0.041, 0.720)

---

Number 1: M_tot 0.000 μB/atom. Number 2: M_tot 0.000 μB/atom. Number 3: M_tot 0.000 μB/atom. Number 4: M_tot 0.000 μB/atom. Number 5: M_tot 0.000 μB/atom. Number 6: M_tot 0.000 μB/atom. Number 7: M_tot 0.000 μB/atom. Number 8: M_tot 0.000 μB/atom. Number 9: M_tot 0.000 μB/atom. Number 10: M_tot 0.000 μB/atom. Number 11: M_tot 0.000 μB/atom. Number 12: M_tot 0.000 μB/atom. Number 13: M_tot 0.000 μB/atom. Number 14: M_tot 0.000 μB/atom. Number 15: M_tot 0.000 μB/atom. Number 16: M_tot 0.000 μB/atom. Number 17: M_tot 0.000 μB/atom. Number 18: M_tot 0.000 μB/atom. Number 19: M_tot 0.000 μB/atom.